# 1
The following is a PBE calculation of crystalline Mn2NbPdN at its relaxed geometry, from the Alexandria database.

Output
Polymorph energy (0 for the lowest one) in meV/atom: 1374
M_tot in μB per cell: 7.0
Formation energy without anion corrections in eV/atom: 1.03

Unit cell a=4.9095 b=4.9095 c=3.9127 alpha=90.00 beta=90.00 gamma=90.00
With the nearest neighbours (Å) after each atom.
Atoms (fractional coordinates):
Mn: 0.0000 0.5000 0.0000  2 Nb 2.45
Mn: 0.5000 0.0000 0.0000  2 Nb 2.45
Nb: 0.0000 0.0000 0.0000  2 N 1.96
Pd: 0.5000 0.5000 0.5000  8 Mn 3.14, 4 N 3.47
N: 0.0000 0.0000 0.5000  2 Nb 1.96


# 2
The following is a PBE calculation of crystalline Rb2BaRe at its relaxed geometry, from the Alexandria database.

Output
Polymorph energy (0 for the lowest one) in meV/atom: 0
M_tot in μB per cell: 5.6
Formation energy in eV per atom: 1.46

Unit cell a=14.5725 b=14.5725 c=14.5725 alpha=160.03 beta=160.03 gamma=28.39
With the nearest neighbours (Å) after each atom.
Atoms (fractional coordinates):
Rb: 0.1043 0.6250 0.9793  4 Rb 3.43-3.72
Rb: 0.3750 0.3543 0.4793  4 Rb 3.43-3.72
Rb: 0.6457 0.1250 0.0207  4 Rb 3.43-3.72
Rb: 0.8750 0.8957 0.5207  4 Rb 3.43-3.72
Ba: 0.2500 0.7500 0.5000  4 Re 3.57, 4 Rb 3.99
Ba: 0.5000 0.5000 0.0000  4 Re 3.57, 4 Rb 3.99
Re: 0.0000 0.0000 0.0000  4 Ba 3.57, 4 Rb 3.93
Re: 0.7500 0.2500 0.5000  4 Ba 3.57, 4 Rb 3.93


# 3
The following is a PBE calculation of crystalline Mg6CdRh2 at its relaxed geometry, from the Alexandria database.

Output
Polymorph energy (0 for the lowest one) in meV/atom: 0
M_tot in μB per cell: 0.0
Formation energy in eV per atom: -0.27

Unit cell a=4.6315 b=4.6315 c=8.7251 alpha=90.00 beta=90.00 gamma=120.00
With the nearest neighbours (Å) after each atom.
Atoms (fractional coordinates):
Mg: 0.0000 0.0000 0.1854  1 Cd 2.75, 3 Rh 2.76, 3 Mg 2.91
Mg: 0.0000 0.0000 0.8146  1 Cd 2.75, 3 Rh 2.76, 3 Mg 2.91
Mg: 0.3333 0.6667 0.0551  1 Rh 2.77, 7 Mg 2.84-2.92
Mg: 0.3333 0.6667 0.3902  3 Cd 2.84, 4 Rh 2.90-3.03, 1 Mg 2.92
Mg: 0.6667 0.3333 0.6098  3 Cd 2.84, 4 Rh 2.90-3.03, 1 Mg 2.92
Mg: 0.6667 0.3333 0.9449  1 Rh 2.77, 7 Mg 2.84-2.92
Cd: 0.0000 0.0000 0.5000  8 Mg 2.75-2.84
Rh: 0.3333 0.6667 0.7374  8 Mg 2.76-3.03
Rh: 0.6667 0.3333 0.2626  8 Mg 2.76-3.03


# 4
The following is a PBE calculation of crystalline ZnTc2Pt2 at its relaxed geometry, from the Alexandria database.

Output
Polymorph energy (0 for the lowest one) in meV/atom: 0
M_tot in μB per cell: 0.0
Formation energy in eV per atom: 0.19

Unit cell a=7.7409 b=7.7409 c=2.7342 alpha=90.00 beta=90.00 gamma=90.00
With the nearest neighbours (Å) after each atom.
Atoms (fractional coordinates):
Zn: 0.0000 0.0000 0.0000  2 Zn 2.73
Zn: 0.5000 0.5000 0.0000  2 Zn 2.73
Tc: 0.1166 0.3834 0.0000  3 Tc 2.55-2.73, 6 Pt 2.65-2.69
Tc: 0.3834 0.8834 0.0000  3 Tc 2.55-2.73, 6 Pt 2.65-2.69
Tc: 0.6166 0.1166 0.0000  3 Tc 2.55-2.73, 6 Pt 2.65-2.69
Tc: 0.8834 0.6166 0.0000  3 Tc 2.55-2.73, 6 Pt 2.65-2.69
Pt: 0.1765 0.6765 0.5000  6 Tc 2.65-2.69, 2 Pt 2.73
Pt: 0.3235 0.1765 0.5000  6 Tc 2.65-2.69, 2 Pt 2.73
Pt: 0.6765 0.8235 0.5000  6 Tc 2.65-2.69, 2 Pt 2.73
Pt: 0.8235 0.3235 0.5000  6 Tc 2.65-2.69, 2 Pt 2.73